A plane-wave DFT calculation with PBE was carried out for crystalline VCoTe2I at its relaxed geometry.

Its crystal system is tetragonal. The calculation puts the total magnetization at 0.6 μB per cell. The energy above the lowest structure with this stoichiometry is 13.4 kJ/mol of atoms.

The structure belongs to space group P4/mmm (No. 123); the cell edges are 4.970, 4.970 and 5.213 Å and the angles 90.00°, 90.00° and 90.00°. The inequivalent atoms are V at (0.000, 0.000, 0.000), Co at (0.500, 0.500, 0.500), Te at (0.000, 0.500, 0.500) and I at (0.500, 0.500, 0.000).

---

A plane-wave DFT calculation with PBE was carried out for crystalline VCoTeI2 at its relaxed geometry.

Its crystal system is tetragonal. The calculation puts the total magnetization at 0.4 μB per cell. The energy above the lowest structure with this stoichiometry is 18.4 kJ/mol of atoms.

The structure belongs to space group P4/mmm (No. 123); the cell edges are 5.143, 5.143 and 5.126 Å and the angles 90.00°, 90.00° and 90.00°. The inequivalent atoms are V at (0.000, 0.000, 0.000), Co at (0.500, 0.500, 0.500), Te at (0.500, 0.500, 0.000) and I at (0.000, 0.500, 0.500).

---

A plane-wave DFT calculation with PBE was carried out for crystalline CoTeWI2 at its relaxed geometry.

Its crystal system is tetragonal. The calculation puts the total magnetization at 2.8 μB per cell. The energy above the lowest structure with this stoichiometry is 0.0 kJ/mol of atoms.

The structure belongs to space group P4/mmm (No. 123); the cell edges are 5.571, 5.571 and 5.227 Å and the angles 90.00°, 90.00° and 90.00°. The inequivalent atoms are Co at (0.000, 0.000, 0.000), Te at (0.500, 0.500, 0.000), W at (0.500, 0.500, 0.500) and I at (0.000, 0.500, 0.500).

---

A plane-wave DFT calculation with PBE was carried out for crystalline CoTe2WI at its relaxed geometry.

Its crystal system is tetragonal. The calculation puts the total magnetization at 1.7 μB per cell. The energy above the lowest structure with this stoichiometry is 0.0 kJ/mol of atoms.

The structure belongs to space group P4/mmm (No. 123); the cell edges are 5.223, 5.223 and 5.779 Å and the angles 90.00°, 90.00° and 90.00°. The inequivalent atoms are Co at (0.000, 0.000, 0.000), Te at (0.000, 0.500, 0.500), W at (0.500, 0.500, 0.500) and I at (0.500, 0.500, 0.000).

---

A plane-wave DFT calculation with PBE was carried out for crystalline CoTe2WI at its relaxed geometry.

Its crystal system is tetragonal. The calculation puts the total magnetization at 2.5 μB per cell. The energy above the lowest structure with this stoichiometry is 9.1 kJ/mol of atoms.

The structure belongs to space group P4/mmm (No. 123); the cell edges are 4.973, 4.973 and 5.084 Å and the angles 90.00°, 90.00° and 90.00°. The inequivalent atoms are Co at (0.000, 0.000, 0.000), Te at (0.000, 0.500, 0.000), W at (0.500, 0.500, 0.500) and I at (0.000, 0.000, 0.500).

---

A plane-wave DFT calculation with PBE was carried out for crystalline CoTeWI2 at its relaxed geometry.

Its crystal system is tetragonal. The calculation puts the total magnetization at 2.8 μB per cell. The energy above the lowest structure with this stoichiometry is 6.6 kJ/mol of atoms.

The structure belongs to space group P4/mmm (No. 123); the cell edges are 5.089, 5.089 and 5.174 Å and the angles 90.00°, 90.00° and 90.00°. The inequivalent atoms are Co at (0.000, 0.000, 0.000), Te at (0.000, 0.000, 0.500), W at (0.500, 0.500, 0.500) and I at (0.000, 0.500, 0.000).

---

A plane-wave DFT calculation with PBE was carried out for crystalline CoTe2WI at its relaxed geometry.

Its crystal system is tetragonal. The calculation puts the total magnetization at 6.5 μB per cell. The energy above the lowest structure with this stoichiometry is 111.7 kJ/mol of atoms.

The structure belongs to space group P4/mmm (No. 123); the cell edges are 5.979, 5.979 and 5.167 Å and the angles 90.00°, 90.00° and 90.00°. The inequivalent atoms are Co at (0.000, 0.000, 0.000), Te at (0.000, 0.500, 0.500), W at (0.500, 0.500, 0.000) and I at (0.500, 0.500, 0.500).

---

A plane-wave DFT calculation with PBE was carried out for crystalline ZnCoTeI2 at its relaxed geometry.

Its crystal system is tetragonal. The calculation puts the total magnetization at 0.4 μB per cell. The energy above the lowest structure with this stoichiometry is 0.0 kJ/mol of atoms.

The structure belongs to space group P4/mmm (No. 123); the cell edges are 5.498, 5.498 and 4.829 Å and the angles 90.00°, 90.00° and 90.00°. The inequivalent atoms are Zn at (0.000, 0.000, 0.000), Co at (0.500, 0.500, 0.500), Te at (0.500, 0.500, 0.000) and I at (0.000, 0.500, 0.500).

---

A plane-wave DFT calculation with PBE was carried out for crystalline ZnCoTeI2 at its relaxed geometry.

Its crystal system is tetragonal. The calculation puts the total magnetization at 2.8 μB per cell. The energy above the lowest structure with this stoichiometry is 40.3 kJ/mol of atoms.

The structure belongs to space group P4/mmm (No. 123); the cell edges are 5.509, 5.509 and 5.418 Å and the angles 90.00°, 90.00° and 90.00°. The inequivalent atoms are Zn at (0.000, 0.000, 0.000), Co at (0.500, 0.500, 0.500), Te at (0.000, 0.000, 0.500) and I at (0.000, 0.500, 0.000).

---

A plane-wave DFT calculation with PBE was carried out for crystalline Th7CoI12 at its relaxed geometry.

Its crystal system is trigonal. The calculation puts the total magnetization at 0.0 μB per cell. The value obtained for the total energy is -4.84 eV/atom.

The structure belongs to space group R-3 (No. 148, hexagonal axes); the cell edges are 16.5531, 16.5531 and 9.7532 Å and the angles 90.00°, 90.00° and 120.00°. The inequivalent atoms are Th at (0.0000, 0.0000, 0.0000), Th at (0.0400, 0.1470, 0.3301), Co at (0.0000, 0.0000, 0.5000), I at (0.0323, 0.5887, 0.1617) and I at (0.0535, 0.1970, 0.8520).

---

A plane-wave DFT calculation with PBE was carried out for crystalline ThCoI2 at its relaxed geometry.

Its crystal system is trigonal. The calculation puts the total magnetization at 3.9 μB per cell. The value obtained for the total energy is -4.26 eV/atom.

The structure belongs to space group R-3m (No. 166, hexagonal axes); the cell edges are 3.8318, 3.8318 and 28.3353 Å and the angles 90.00°, 90.00° and 120.00°. The inequivalent atoms are Th at (0.0000, 0.0000, 0.0000), Co at (0.0000, 0.0000, 0.5000) and I at (0.0000, 0.0000, 0.1115).

---

A plane-wave DFT calculation with PBE was carried out for crystalline ThCoI at its relaxed geometry.

Its crystal system is monoclinic. The calculation puts the total magnetization at 0.0 μB per cell. The value obtained for the total energy is -6.11 eV/atom.

The structure belongs to space group C2/m (No. 12); the cell edges are 6.952, 4.016 and 12.892 Å and the angles 90.00°, 96.94° and 90.00°. The inequivalent atoms are Th at (0.039, 0.000, 0.147), Co at (0.167, 0.500, 0.003) and I at (0.247, 0.500, 0.332).

---

A plane-wave DFT calculation with PBE was carried out for crystalline Th2CoI at its relaxed geometry.

Its crystal system is trigonal. The calculation puts the total magnetization at 0.0 μB per cell. The energy above the lowest structure with this stoichiometry is 0.0 kJ/mol of atoms.

The structure belongs to space group R3m (No. 160, hexagonal axes); the cell edges are 4.0976, 4.0976 and 24.3758 Å and the angles 90.00°, 90.00° and 120.00°. The inequivalent atoms are Th at (0.0000, 0.0000, 0.0000), Th at (0.0000, 0.0000, 0.2200), Co at (0.0000, 0.0000, 0.6097) and I at (0.0000, 0.0000, 0.7784).

---

A plane-wave DFT calculation with PBE was carried out for crystalline Th4CoI5 at its relaxed geometry.

Its crystal system is monoclinic. The calculation puts the total magnetization at 0.0 μB per cell. The value obtained for the total energy is -5.32 eV/atom.

The structure belongs to space group C2/m (No. 12); the cell edges are 18.739, 3.933 and 9.358 Å and the angles 90.00°, 99.07° and 90.00°. The inequivalent atoms are Th at (0.001, 0.000, 0.192), Th at (0.165, 0.500, 0.051), Co at (0.000, 0.500, 0.000), I at (0.000, 0.500, 0.500), I at (0.168, 0.000, 0.330) and I at (0.168, 0.000, 0.776).

---

A plane-wave DFT calculation with PBE was carried out for crystalline Th2CoI at its relaxed geometry.

Its crystal system is trigonal. The calculation puts the total magnetization at 0.0 μB per cell. The energy above the lowest structure with this stoichiometry is 0.3 kJ/mol of atoms.

The structure belongs to space group R-3m (No. 166, hexagonal axes); the cell edges are 4.1379, 4.1379 and 24.1988 Å and the angles 90.00°, 90.00° and 120.00°. The inequivalent atoms are Th at (0.0000, 0.0000, 0.2225), Co at (0.0000, 0.0000, 0.5000) and I at (0.0000, 0.0000, 0.0000).

---

A plane-wave DFT calculation with PBE was carried out for crystalline Th2CoI2 at its relaxed geometry.

Its crystal system is triclinic. The calculation puts the total magnetization at 0.0 μB per cell. The value obtained for the total energy is -5.84 eV/atom.

The structure belongs to space group P-1 (No. 2); the cell edges are 4.049, 4.052 and 12.369 Å and the angles 84.16°, 82.71° and 63.59°. The inequivalent atoms are Th at (0.224, 0.208, 0.381), Co at (0.500, 0.500, 0.500) and I at (0.054, 0.097, 0.810).

---

A plane-wave DFT calculation with PBE was carried out for crystalline Ti3CoI at its relaxed geometry.

Its crystal system is cubic. The calculation puts the total magnetization at 0.0 μB per cell. The energy above the lowest structure with this stoichiometry is 0.0 kJ/mol of atoms.

The structure belongs to space group Pm-3m (No. 221); the cell edges are 4.605, 4.605 and 4.605 Å and the angles 90.00°, 90.00° and 90.00°. The inequivalent atoms are Ti at (0.000, 0.000, 0.500), Co at (0.000, 0.000, 0.000) and I at (0.500, 0.500, 0.500).

---

A plane-wave DFT calculation with PBE was carried out for crystalline TiCo2I at its relaxed geometry.

Its crystal system is cubic. The calculation puts the total magnetization at 0.0 μB per cell. The energy above the lowest structure with this stoichiometry is 0.0 kJ/mol of atoms.

The structure belongs to space group Fm-3m (No. 225); the cell edges are 6.189, 6.189 and 6.189 Å and the angles 90.00°, 90.00° and 90.00°. The inequivalent atoms are Ti at (0.000, 0.000, 0.000), Co at (0.250, 0.250, 0.250) and I at (0.000, 0.000, 0.500).

---

A plane-wave DFT calculation with PBE was carried out for crystalline TiCo2I at its relaxed geometry.

Its crystal system is tetragonal. The calculation puts the total magnetization at 1.2 μB per cell. The energy above the lowest structure with this stoichiometry is 6.2 kJ/mol of atoms.

The structure belongs to space group I-42d (No. 122); the cell edges are 4.110, 4.110 and 15.897 Å and the angles 90.00°, 90.00° and 90.00°. The inequivalent atoms are Ti at (0.000, 0.000, 0.000), Co at (0.216, 0.250, 0.125) and I at (0.000, 0.000, 0.500).

---

A plane-wave DFT calculation with PBE was carried out for crystalline TiCoI3 at its relaxed geometry.

Its crystal system is cubic. The calculation puts the total magnetization at 0.2 μB per cell. The value obtained for the total energy is -3.31 eV/atom.

The structure belongs to space group Pm-3m (No. 221); the cell edges are 5.194, 5.194 and 5.194 Å and the angles 90.00°, 90.00° and 90.00°. The inequivalent atoms are Ti at (0.000, 0.000, 0.000), Co at (0.500, 0.500, 0.500) and I at (0.000, 0.500, 0.500).

---

The following D(E_F) values (in states/eV/atom) correspond, in order, to the records above: 1.800 1.715 2.478 1.230 1.099 1.165 1.986 1.229 1.359 0.591 1.721 0.332 0.727 0.583 0.830 0.570 1.449 2.137 1.110 2.503.